! Tb2SmDy2Tm | the Alexandria database | GGA-PBE | optimized geometry; values from VASP
&SYSTEM
  ibrav = 0, nat = 12, ntyp = 4
/
ATOMIC_SPECIES
Tm 168.93 Tm.upf
Sm 150.36 Sm.upf
Tb 158.93 Tb.upf
Dy 162.50 Dy.upf
CELL_PARAMETERS angstrom
-3.166 0.020 1.146
0.153 -6.564 0.538
5.999 1.496 16.543
ATOMIC_POSITIONS crystal
Tm 0.500 0.500 0.500
Tm 0.000 0.000 0.000
Sm 0.000 0.000 0.500
Sm 0.500 0.500 0.000
Tb 0.000 0.764 0.182
Tb 0.000 0.236 0.818
Tb 0.500 0.736 0.682
Tb 0.500 0.264 0.318
Dy 0.500 0.766 0.352
Dy 0.000 0.734 0.852
Dy 0.000 0.266 0.148
Dy 0.500 0.234 0.648
! - energy (eV per atom) = -4.33
! - M_tot (μB/atom) = 0.00
! - space group = Pnnm, No. 58
! - energy of formation (eV per atom) = 0.28